The following is a PBE calculation of an optimized crystal structure of La2Ti2Te, from the Alexandria database.

Cell: 7.375 7.375 4.675 Å, 90.00 90.00 90.00°
Space group P4/mbm (No. 127)
One atom of each set of equivalent atoms:
La1 0.178 0.322 0.000 x4
Ti1 0.128 0.628 0.500 x4
Te1 0.000 0.000 0.500 x2

Results
The calculation puts the raw total energy at -0.437 Ry/atom. The formation energy from raw total energies is -0.182 eV per atom. For the density of states at the Fermi level, the calculation gives 18.3 states/eV/cell. The mass density comes out at 6.55 Mg/m³.

=====

The following is a PBE calculation of an optimized crystal structure of Ge3Se4, from the Alexandria database.

Cell: 14.588 3.794 6.648 Å, 90.00 116.03 90.00°
Space group C2/m (No. 12)
One atom of each set of equivalent atoms:
Ge1 0.000 0.000 0.000 x2
Ge2 0.240 0.500 0.719 x4
Se1 0.125 0.000 0.457 x4
Se2 0.129 0.500 0.969 x4

Results
The calculation puts the raw total energy at -0.305 Ry/atom. The formation energy from raw total energies is -0.180 eV per atom. For the density of states at the Fermi level, the calculation gives 5.9 states/eV/cell. The mass density comes out at 5.36 Mg/m³.

=====

The following is a PBE calculation of an optimized crystal structure of Pr3Ho3TlIn2, from the Alexandria database.

Cell: 9.1497 9.1497 3.7777 Å, 90.00 90.00 120.00°
Space group P-62m (No. 189)
One atom of each set of equivalent atoms:
Pr1 0.0000 0.7109 0.0000 x3
Ho1 0.0000 0.3843 0.5000 x3
Tl1 0.0000 0.0000 0.5000 x1
In1 0.3333 0.6667 0.0000 x2

Results
The energy relative to the elements comes out at -2.38 eV per formula unit. The calculation puts the raw total energy at -0.313 Ry/atom. For the density of states at the Fermi level, the calculation gives 8.9 states/eV/cell. The mass density comes out at 8.19 Mg/m³.

=====

The following is a PBE calculation of an optimized crystal structure of PuScCu, from the Alexandria database.

Cell: 3.273 3.273 11.939 Å, 90.00 90.00 90.00°
Space group I4mm (No. 107)
One atom of each set of equivalent atoms:
Pu1 0.000 0.000 0.000 x2
Sc1 0.000 0.000 0.289 x2
Cu1 0.000 0.000 0.666 x2

Results
The energy relative to the elements comes out at 0.02 eV per formula unit. The calculation puts the raw total energy at -0.606 Ry/atom. For the density of states at the Fermi level, the calculation gives 14.5 states/eV/cell. The mass density comes out at 9.15 Mg/m³.

=====

The following is a PBE calculation of an optimized crystal structure of Nb2AgRh, from the Alexandria database.

Cell: 7.372 7.372 5.451 Å, 90.00 90.00 90.00°
Space group I-42d (No. 122)
One atom of each set of equivalent atoms:
Nb1 0.217 0.250 0.125 x8
Ag1 0.000 0.000 0.500 x4
Rh1 0.000 0.000 0.000 x4

Results
The energy relative to the elements comes out at 1.40 eV per formula unit. The calculation puts the raw total energy at -0.532 Ry/atom. For the density of states at the Fermi level, the calculation gives 13.8 states/eV/cell. The mass density comes out at 8.89 Mg/m³.

=====

The following is a PBE calculation of an optimized crystal structure of TaRe2Mo, from the Alexandria database.

Cell: 2.790 2.790 8.362 Å, 90.00 90.00 90.00°
Space group P4mm (No. 99)
One atom of each set of equivalent atoms:
Ta1 0.000 0.000 0.000 x1
Re1 0.000 0.000 0.521 x1
Re2 0.500 0.500 0.739 x1
Mo1 0.500 0.500 0.276 x1

Results
The energy relative to the elements comes out at 0.38 eV per formula unit. The calculation puts the raw total energy at -0.867 Ry/atom. For the density of states at the Fermi level, the calculation gives 4.0 states/eV/cell. The mass density comes out at 16.57 Mg/m³.

=====

The following is a PBE calculation of an optimized crystal structure of RbAlSn, from the Alexandria database.

Cell: 7.887 13.109 4.206 Å, 90.00 90.00 90.00°
Space group Cmme (No. 67)
One atom of each set of equivalent atoms:
Rb1 0.250 0.000 0.000 x4
Al1 0.250 0.250 0.500 x4
Sn1 0.000 0.250 0.014 x4

Results
The energy relative to the elements comes out at 0.37 eV per formula unit. The calculation puts the raw total energy at -0.204 Ry/atom. For the density of states at the Fermi level, the calculation gives 5.0 states/eV/cell. The mass density comes out at 3.53 Mg/m³.

=====

The following is a PBE calculation of an optimized crystal structure of SnGeBi2H, from the Alexandria database.

Cell: 5.929 5.929 3.484 Å, 90.00 90.00 90.00°
Space group P4/mmm (No. 123)
One atom of each set of equivalent atoms:
Sn1 0.000 0.000 0.000 x1
Ge1 0.500 0.500 0.500 x1
Bi1 0.000 0.500 0.500 x2
H1 0.500 0.500 0.000 x1

Results
The calculation puts the raw total energy at -0.274 Ry/atom. For the density of states at the Fermi level, the calculation gives 2.9 states/eV/cell. The mass density comes out at 8.27 Mg/m³.